1.
VASP calculation (PBE) on a relaxed Ba4GeAsBr2 crystal.

The value obtained for the formation energy without anion corrections is -1.324 eV per atom. Its crystal system is monoclinic. Its total energy is -3.862 eV/atom.

The structure belongs to space group P2/m (No. 10); the cell edges are 8.376, 4.748 and 8.572 Å and the angles 90.00°, 108.62° and 90.00°. The distinct sites, in fractional coordinates, are Ba at (0.237, 0.000, 0.219), Ba at (0.253, 0.500, 0.775), Ge at (0.500, 0.000, 0.000), As at (0.000, 0.500, 0.000), Br at (0.000, 0.000, 0.500) and Br at (0.500, 0.500, 0.500).

***

2.
VASP calculation (PBE) on a relaxed Ac2PuBiO8 crystal.

The value obtained for the formation energy without anion corrections is -2.510 eV per atom. Its crystal system is triclinic. Its total energy is -8.018 eV/atom.

The structure belongs to space group P-1 (No. 2); the cell edges are 4.319, 5.762 and 7.742 Å and the angles 89.93°, 89.99° and 82.72°. The distinct sites, in fractional coordinates, are Ac at (0.000, 0.000, 0.249), Pu at (0.500, 0.500, 0.500), Bi at (0.500, 0.500, 0.000), O at (0.036, 0.748, 0.000), O at (0.100, 0.698, 0.500), O at (0.441, 0.276, 0.288) and O at (0.441, 0.276, 0.711).

***

3.
VASP calculation (PBE) on a relaxed LiAcCuSn2 crystal.

The formation energy comes out at -0.503 eV/atom. Its crystal system is tetragonal. Its total energy is -4.128 eV/atom.

The structure belongs to space group I-4m2 (No. 119); the cell edges are 4.601, 4.601 and 11.300 Å and the angles 90.00°, 90.00° and 90.00°. The distinct sites, in fractional coordinates, are Li at (0.000, 0.000, 0.000), Ac at (0.000, 0.500, 0.750), Cu at (0.000, 0.000, 0.500) and Sn at (0.000, 0.500, 0.121).

***

4.
VASP calculation (PBE) on a relaxed Rb3Tl2Se4 crystal.

The value obtained for the formation energy without anion corrections is -0.754 eV per atom. Its crystal system is monoclinic. Its total energy is -3.151 eV/atom.

The structure belongs to space group C2/c (No. 15); the cell edges are 14.620, 11.808 and 8.230 Å and the angles 90.00°, 92.78° and 90.00°. The distinct sites, in fractional coordinates, are Rb at (0.000, 0.111, 0.250), Rb at (0.124, 0.370, 0.577), Tl at (0.200, 0.121, 0.913), Se at (0.116, 0.322, 0.014) and Se at (0.161, 0.074, 0.584).

***

5.
VASP calculation (PBE) on a relaxed Pr3Ru crystal.

The formation energy comes out at -0.167 eV/atom. Its crystal system is orthorhombic. Its total energy is -6.070 eV/atom.

The structure belongs to space group Pnma (No. 62); the cell edges are 7.460, 9.907 and 6.536 Å and the angles 90.00°, 90.00° and 90.00°. The distinct sites, in fractional coordinates, are Pr at (0.043, 0.250, 0.147), Pr at (0.175, 0.068, 0.671) and Ru at (0.115, 0.750, 0.444).

***

6.
VASP calculation (PBE) on a relaxed Zr2ZnCd crystal.

The formation energy comes out at -0.147 eV/atom. Its crystal system is tetragonal. Its total energy is -4.969 eV/atom.

The structure belongs to space group P4/mmm (No. 123); the cell edges are 4.409, 4.409 and 4.165 Å and the angles 90.00°, 90.00° and 90.00°. The distinct sites, in fractional coordinates, are Zr at (0.000, 0.500, 0.000), Zn at (0.000, 0.000, 0.500) and Cd at (0.500, 0.500, 0.500).

***

For the records above, the corresponding total magnetization values read 0.903, 0.995, 0.000, 0.000, 0.000, 0.002 Bohr magnetons per cell.